(1)
VASP calculation (PBE) on crystalline Sr3P4Pd4 at its relaxed geometry.

Summary:
Its total DFT energy (no corrections) is -5.141 eV per atom. Its symmetry is C2/m. The theoretical density is 5838 kg/m³.

a b c (Å): 4.4984 4.2933 12.3598
angles (deg): 80.07 79.54 90.03
With the nearest neighbours (Å) after each atom.
Fractional positions:
Sr: 0.1507 0.6510 0.6988  8 P 3.15-3.35, 7 Pd 3.17-3.49
Sr: 0.8493 0.3490 0.3012  8 P 3.15-3.35, 7 Pd 3.17-3.49
Sr: 0.0000 0.0000 0.0000  4 P 3.27, 8 Pd 3.39-3.40
P: 0.5989 0.0993 0.8017  3 Pd 2.37-2.50
P: 0.2469 0.2467 0.5058  4 Pd 2.45-2.48
P: 0.7531 0.7534 0.4942  4 Pd 2.45-2.48
P: 0.4011 0.9007 0.1983  3 Pd 2.37-2.50
Pd: 0.5574 0.5574 0.8856  2 P 2.37
Pd: 0.4427 0.4426 0.1144  2 P 2.37
Pd: 0.2966 0.7961 0.4071  5 P 2.45-2.50
Pd: 0.7034 0.2040 0.5929  5 P 2.45-2.50


(2)
VASP calculation (PBE) on crystalline SrPPd3 at its relaxed geometry.

Summary:
Its total DFT energy (no corrections) is -5.270 eV per atom. Its symmetry is Cmcm. The theoretical density is 7317 kg/m³. For the polymorph energy (0 for the lowest one), the calculation gives 53 meV per atom.

a b c (Å): 7.5875 8.9158 5.8752
angles (deg): 90.00 90.00 90.00
With the nearest neighbours (Å) after each atom.
Fractional positions:
Sr: 0.5142 0.2500 0.4998  11 Pd 3.01-3.34
Sr: 0.9858 0.7500 0.9998  11 Pd 3.01-3.34
Sr: 0.4858 0.7500 0.5002  11 Pd 3.01-3.34
Sr: 0.0142 0.2500 0.0002  11 Pd 3.01-3.34
Pd: 0.2500 0.0000 0.7501  2 P 2.40
Pd: 0.2500 0.5000 0.2501  2 P 2.40
Pd: 0.2500 0.0000 0.2501  2 P 2.40
Pd: 0.7500 0.5000 0.2499  2 P 2.40
Pd: 0.7500 0.0000 0.2499  2 P 2.40
Pd: 0.7500 0.5000 0.7499  2 P 2.40
Pd: 0.7500 0.0000 0.7499  2 P 2.40
Pd: 0.2500 0.5000 0.7501  2 P 2.40
Pd: 0.6037 0.2500 0.9998  2 P 2.36
Pd: 0.8963 0.7500 0.4998  2 P 2.36
Pd: 0.3963 0.7500 0.0002  2 P 2.36
Pd: 0.1037 0.2500 0.5002  2 P 2.36
P: 0.0000 0.0000 0.5000  6 Pd 2.36-2.40
P: 0.5000 0.5000 0.0000  6 Pd 2.36-2.40
P: 0.5000 0.0000 0.0000  6 Pd 2.36-2.40
P: 0.0000 0.5000 0.5000  6 Pd 2.36-2.40


(3)
VASP calculation (PBE) on crystalline SrP2Pd5 at its relaxed geometry.

Summary:
Its total DFT energy (no corrections) is -5.484 eV per atom. Its symmetry is Immm. The theoretical density is 8141 kg/m³.

a b c (Å): 4.1266 6.2966 6.2966
angles (deg): 67.64 70.87 70.87
With the nearest neighbours (Å) after each atom.
Fractional positions:
Sr: 0.0000 0.0000 0.0000  4 P 3.23, 14 Pd 3.33-3.57
P: 0.7583 0.7417 0.7417  3 Pd 2.32-2.34
P: 0.2417 0.2583 0.2583  3 Pd 2.32-2.34
Pd: 0.0000 0.5000 0.5000  2 P 2.32
Pd: 0.6578 0.5386 0.1458  3 P 2.34-2.61
Pd: 0.3422 0.4614 0.8542  3 P 2.34-2.61
Pd: 0.3422 0.8542 0.4614  3 P 2.34-2.61
Pd: 0.6578 0.1458 0.5386  3 P 2.34-2.61


(4)
VASP calculation (PBE) on crystalline SrPPd3 at its relaxed geometry.

Summary:
Its total DFT energy (no corrections) is -5.290 eV per atom. Its symmetry is Cm. The theoretical density is 7328 kg/m³. For the polymorph energy (0 for the lowest one), the calculation gives 33 meV per atom.

a b c (Å): 6.5149 6.5147 6.5788
angles (deg): 118.46 121.40 89.58
With the nearest neighbours (Å) after each atom.
Fractional positions:
P: 0.7796 0.5780 0.0435  6 Pd 2.33-2.40
P: 0.2832 0.0817 0.0435  6 Pd 2.33-2.40
Pd: 0.0242 0.7834 0.5540  2 P 2.33-2.40
Pd: 0.0623 0.7714 0.0159  2 P 2.37
Pd: 0.5883 0.3476 0.5540  2 P 2.33-2.40
Pd: 0.1241 0.4160 0.1525  2 P 2.36-2.38
Pd: 0.5542 0.8461 0.1525  2 P 2.36-2.38
Pd: 0.5608 0.4018 0.1449  2 P 2.35
Sr: 0.0853 0.2945 0.5620  12 Pd 3.14-3.51
Sr: 0.5887 0.9057 0.6767  12 Pd 3.15-3.51


(5)
VASP calculation (PBE) on crystalline Sr2PPd2 at its relaxed geometry.

Summary:
Its total DFT energy (no corrections) is -4.385 eV per atom. Its symmetry is I4/mmm. The theoretical density is 5624 kg/m³. For the polymorph energy (0 for the lowest one), the calculation gives 0 meV per atom.

a b c (Å): 3.7746 3.7746 9.0843
angles (deg): 78.01 78.01 90.00
With the nearest neighbours (Å) after each atom.
Fractional positions:
Sr: 0.3987 0.3987 0.2026  4 P 3.20, 4 Pd 3.20, 1 Sr 3.52
Sr: 0.6013 0.6013 0.7974  4 P 3.20, 4 Pd 3.20, 1 Sr 3.52
Pd: 0.7500 0.2500 0.5000  4 Pd 2.67
Pd: 0.2500 0.7500 0.5000  4 Pd 2.67
P: 0.0000 0.0000 0.0000  8 Sr 3.20


(6)
VASP calculation (PBE) on crystalline SrPPd3 at its relaxed geometry.

Summary:
Its total DFT energy (no corrections) is -4.912 eV per atom. Its symmetry is P6_3/mmc. The theoretical density is 7867 kg/m³. For the polymorph energy (0 for the lowest one), the calculation gives 411 meV per atom.

a b c (Å): 4.7295 4.7295 9.5415
angles (deg): 90.00 90.00 120.00
With the nearest neighbours (Å) after each atom.
Fractional positions:
Sr: 0.3333 0.6667 0.7500  5 Pd 2.73-2.95
Sr: 0.6667 0.3333 0.2500  5 Pd 2.73-2.95
Pd: 0.0000 0.0000 0.2500  2 P 2.39
Pd: 0.0000 0.0000 0.7500  2 P 2.39
Pd: 0.3333 0.6667 0.0594  3 P 2.79, 1 Sr 2.95, 3 Pd 2.96
Pd: 0.3333 0.6667 0.4406  3 P 2.79, 1 Sr 2.95, 3 Pd 2.96
Pd: 0.6667 0.3333 0.5594  3 P 2.79, 1 Sr 2.95, 3 Pd 2.96
Pd: 0.6667 0.3333 0.9406  3 P 2.79, 1 Sr 2.95, 3 Pd 2.96
P: 0.0000 0.0000 0.0000  2 Pd 2.39
P: 0.0000 0.0000 0.5000  2 Pd 2.39


(7)
VASP calculation (PBE) on crystalline SrPPd3 at its relaxed geometry.

Summary:
Its total DFT energy (no corrections) is -5.019 eV per atom. Its symmetry is C2/c. The theoretical density is 7286 kg/m³. For the polymorph energy (0 for the lowest one), the calculation gives 304 meV per atom.

a b c (Å): 13.0816 8.1636 8.1636
angles (deg): 95.05 130.92 49.08
With the nearest neighbours (Å) after each atom.
Fractional positions:
Sr: 0.2291 0.3098 0.4591  8 Pd 3.03-3.29
Sr: 0.2709 0.9591 0.8098  8 Pd 3.03-3.29
Sr: 0.7709 0.6902 0.5409  8 Pd 3.03-3.29
Sr: 0.7291 0.0409 0.1902  8 Pd 3.03-3.29
Pd: 0.5131 0.2278 0.4959  1 P 2.32
Pd: 0.9869 0.9959 0.7278  1 P 2.32
Pd: 0.4869 0.7722 0.5041  1 P 2.32
Pd: 0.0131 0.0041 0.2722  1 P 2.32
Pd: 0.9744 0.2572 0.9902  3 P 2.43-2.55
Pd: 0.5256 0.4902 0.7572  3 P 2.43-2.55
Pd: 0.0256 0.7428 0.0098  3 P 2.43-2.55
Pd: 0.4744 0.5098 0.2428  3 P 2.43-2.55
Pd: 0.7435 0.7836 0.8931  1 P 2.35
Pd: 0.7565 0.3931 0.2836  1 P 2.35
Pd: 0.2565 0.2164 0.1069  1 P 2.35
Pd: 0.2435 0.6069 0.7164  1 P 2.35
P: 0.7500 0.2227 0.7227  6 Pd 2.32-2.46
P: 0.2500 0.7773 0.2773  6 Pd 2.32-2.46
P: 0.7500 0.5361 0.0361  4 Pd 2.35-2.55
P: 0.2500 0.4639 0.9639  4 Pd 2.35-2.55


(8)
VASP calculation (PBE) on crystalline SrPPd2 at its relaxed geometry.

Summary:
Its total DFT energy (no corrections) is -5.063 eV per atom. Its symmetry is I-42d. The theoretical density is 5411 kg/m³.

a b c (Å): 5.1322 5.1322 8.5336
angles (deg): 72.50 72.50 90.00
With the nearest neighbours (Å) after each atom.
Fractional positions:
Sr: 0.0000 0.0000 0.0000  8 Pd 3.41-3.51, 4 P 3.63
Sr: 0.7500 0.2500 0.5000  8 Pd 3.41-3.51, 4 P 3.63
Pd: 0.3885 0.1250 0.2500  2 P 2.32, 2 Pd 2.57
Pd: 0.3615 0.6250 0.2500  2 P 2.32, 2 Pd 2.57
Pd: 0.3750 0.6115 0.7500  2 P 2.32, 2 Pd 2.57
Pd: 0.8750 0.6385 0.7500  2 P 2.32, 2 Pd 2.57
P: 0.5000 0.5000 0.0000  4 Pd 2.32
P: 0.2500 0.7500 0.5000  4 Pd 2.32


(9)
VASP calculation (PBE) on crystalline SrPPd3 at its relaxed geometry.

Summary:
Its total DFT energy (no corrections) is -4.659 eV per atom. Its symmetry is R3m. The theoretical density is 5169 kg/m³. For the polymorph energy (0 for the lowest one), the calculation gives 664 meV per atom.

a b c (Å): 6.3057 6.3057 6.3057
angles (deg): 51.23 51.23 51.23
With the nearest neighbours (Å) after each atom.
Fractional positions:
Sr: 0.0233 0.0233 0.0233  6 Pd 3.15-3.16, 3 P 3.36
Pd: 0.0171 0.5321 0.0171  1 P 2.27
Pd: 0.5321 0.0171 0.0171  1 P 2.27
Pd: 0.0171 0.0171 0.5321  1 P 2.27
P: 0.2854 0.2854 0.2854  3 Pd 2.27


(10)
VASP calculation (PBE) on crystalline SrPPd3 at its relaxed geometry.

Summary:
Its total DFT energy (no corrections) is -4.737 eV per atom. Its symmetry is I-4m2. The theoretical density is 5632 kg/m³. For the polymorph energy (0 for the lowest one), the calculation gives 586 meV per atom.

a b c (Å): 4.8486 4.8486 11.5055
angles (deg): 77.84 77.84 90.00
With the nearest neighbours (Å) after each atom.
Fractional positions:
Sr: 0.0000 0.0000 0.0000  4 Pd 3.02, 4 P 3.36
Sr: 0.2500 0.7500 0.5000  4 Pd 2.98
Pd: 0.6259 0.8737 0.2525  2 Pd 2.40-2.45
Pd: 0.1263 0.3741 0.7475  2 Pd 2.40-2.45
Pd: 0.1263 0.8785 0.7475  2 Pd 2.40-2.45
Pd: 0.1215 0.8737 0.2525  2 Pd 2.40-2.45
Pd: 0.3681 0.3681 0.2638  2 P 2.49, 4 Pd 2.72
Pd: 0.6319 0.6319 0.7362  2 P 2.49, 4 Pd 2.72
P: 0.6060 0.1060 0.7880  6 Pd 2.49-2.74
P: 0.8940 0.3940 0.2120  6 Pd 2.49-2.74